Sm4ThGe4: optimized geometry, PBE-GGA.

Computed properties:
E_form: -0.603 eV/atom
D(E_F): 0.85 states/eV/atom
Calculated total energy: -100.38 eV per cell
V: 529 Å³ per cell

```
Sm4ThGe4
1.0
-3.5968 -4.3362 1.9105
0.5964 -4.2056 -8.4228
7.4901 -4.9010 2.9775
Sm Th Ge
8 2 8
direct
0.5000 0.3032 0.8996
0.0000 0.6004 0.8032
0.5000 0.6968 0.1004
0.0000 0.1968 0.6004
0.5000 0.8996 0.6968
0.0000 0.8032 0.3996
0.0000 0.3996 0.1968
0.5000 0.1004 0.3032
0.0000 0.0000 0.0000
0.5000 0.5000 0.5000
0.4999 0.7964 0.3983
0.4999 0.2036 0.6017
0.9999 0.8983 0.7036
0.0001 0.2964 0.8983
0.0001 0.7036 0.1017
0.5001 0.3983 0.2036
0.5001 0.6017 0.7964
0.9999 0.1017 0.2964
```